A relaxed Y7HoO12 crystal. Source: the Alexandria database, functional PBEsol.

Structure (POSCAR):
```
Y7HoO12
1.0
-6.324 -0.623 6.543
1.941 -8.335 -3.154
3.172 -5.166 6.815
Y Ho O
14 2 24
direct
0.750 0.217 0.033
0.500 0.000 0.500
0.033 0.250 0.217
0.467 0.750 0.283
0.217 0.967 0.250
0.718 0.468 0.250
0.000 0.999 0.000
0.000 0.500 0.500
0.500 0.501 0.000
0.250 0.283 0.467
0.782 0.032 0.750
0.283 0.533 0.750
0.532 0.250 0.718
0.968 0.750 0.782
0.750 0.717 0.533
0.250 0.783 0.967
0.272 0.230 0.239
0.468 0.011 0.261
0.230 0.761 0.729
0.729 0.958 0.031
0.511 0.542 0.228
0.010 0.739 0.531
0.228 0.489 0.542
0.032 0.270 0.958
0.458 0.228 0.511
0.957 0.968 0.271
0.739 0.469 0.989
0.239 0.728 0.229
0.761 0.272 0.770
0.042 0.031 0.730
0.261 0.532 0.011
0.543 0.772 0.489
0.970 0.729 0.042
0.771 0.512 0.458
0.989 0.261 0.469
0.490 0.458 0.771
0.270 0.042 0.969
0.771 0.239 0.272
0.530 0.988 0.741
0.729 0.771 0.759
```

Output
DOS at the Fermi energy = 0.00 states/eV/cell
size of the total moment = 0.0 μB/f.u.
uncorrected formation energy = -3639 meV/atom